Density functional theory data (GGA+U) for crystalline NpSc2MnO8 at its relaxed geometry.

a b c (Å): 4.806 4.806 6.495
angles (deg): 90.00 90.00 92.78
Sites, in units of the cell vectors:
Np1 0.000 0.000 0.000
Sc1 0.500 0.500 0.266
Sc2 0.500 0.500 0.734
Mn1 0.000 0.000 0.500
O1 0.191 0.809 0.238
O2 0.191 0.809 0.762
O3 0.292 0.292 0.500
O4 0.302 0.302 0.000
O5 0.698 0.698 0.000
O6 0.708 0.708 0.500
O7 0.809 0.191 0.238
O8 0.809 0.191 0.762

## Properties
The calculation puts the energy at -0.32176 Ha/atom. The total magnetization is 4.06 μB per formula unit. The value obtained for the density of states at the Fermi level is 0.16 states/eV per atom. As for the crystal system: orthorhombic.